# InN2OF

A geometry-optimized InN2OF structure (GGA-PBE, the Alexandria database).

a b c (Å): 3.6293 3.6293 5.3223
angles (deg): 90.00 90.00 90.00
With the nearest neighbours (Å) after each atom.
Positions (direct):
In1 0.0000 0.0000 0.0000  4 O 2.57
N1 0.0000 0.5000 0.5000  2 F 1.81
N2 0.5000 0.0000 0.5000  2 F 1.81
O1 0.5000 0.5000 0.0000  4 In 2.57, 2 F 2.66
F1 0.5000 0.5000 0.5000  4 N 1.81

## Properties
VASP energy ... -3.462 eV per atom
Crystal system ... tetragonal
Fermi-level density of states ... 2.2 states/eV per cell
ΔE_f (raw) ... 1782 meV per atom
SG ... P4/mmm (123)

***

# Li4BiAu3

A geometry-optimized Li4BiAu3 structure (GGA-PBE, the Alexandria database).

a b c (Å): 4.4322 4.4322 6.9165
angles (deg): 90.00 90.00 90.00
With the nearest neighbours (Å) after each atom.
Positions (direct):
Li1 0.0000 0.5000 0.2236  6 Au 2.70-2.93, 2 Bi 2.93
Li2 0.0000 0.5000 0.7764  6 Au 2.70-2.93, 2 Bi 2.93
Li3 0.5000 0.0000 0.2236  6 Au 2.70-2.93, 2 Bi 2.93
Li4 0.5000 0.0000 0.7764  6 Au 2.70-2.93, 2 Bi 2.93
Bi1 0.0000 0.0000 0.5000  8 Li 2.93, 4 Au 3.13
Au1 0.0000 0.0000 0.0000  8 Li 2.70
Au2 0.5000 0.5000 0.0000  8 Li 2.70
Au3 0.5000 0.5000 0.5000  8 Li 2.93, 4 Bi 3.13

## Properties
VASP energy ... -3.166 eV per atom
Crystal system ... tetragonal
Fermi-level density of states ... 2.3 states/eV per cell
SG ... P4/mmm (123)